No. 1
# PBE RbCaW2, optimized geometry
data_RbCaW2
_cell_length_a 8.895
_cell_length_b 8.895
_cell_length_c 5.356
_cell_angle_alpha 90.00
_cell_angle_beta 90.00
_cell_angle_gamma 90.00
_space_group_name_H-M_alt 'I -4 2 d'
_space_group_IT_number 122
_space_group_name_Hall 'I -4 2bw'
loop_
_atom_site_label
_atom_site_fract_x
_atom_site_fract_y
_atom_site_fract_z
Rb1 0.000 0.000 0.000
Ca1 0.000 0.000 0.500
W1 0.241 0.250 0.625
# Uncorrected energy = -78.36 eV/cell

No. 2
# PBE RbCaW2, optimized geometry
data_RbCaW2
_cell_length_a 7.470
_cell_length_b 7.470
_cell_length_c 7.470
_cell_angle_alpha 90.00
_cell_angle_beta 90.00
_cell_angle_gamma 90.00
_space_group_name_H-M_alt 'F m -3 m'
_space_group_IT_number 225
_space_group_name_Hall '-F 4 2 3'
loop_
_atom_site_label
_atom_site_fract_x
_atom_site_fract_y
_atom_site_fract_z
Rb1 0.000 0.000 0.000
Ca1 0.000 0.000 0.500
W1 0.250 0.250 0.250
# Uncorrected energy = -74.24 eV/cell

No. 3
# PBE Rb2Ca2W, optimized geometry
data_Rb2Ca2W
_cell_length_a 8.161
_cell_length_b 8.161
_cell_length_c 7.202
_cell_angle_alpha 90.00
_cell_angle_beta 90.00
_cell_angle_gamma 90.00
_space_group_name_H-M_alt 'P 4/m b m'
_space_group_IT_number 127
_space_group_name_Hall '-P 4 2ab'
loop_
_atom_site_label
_atom_site_fract_x
_atom_site_fract_y
_atom_site_fract_z
Rb1 0.186 0.314 0.000
Ca1 0.169 0.669 0.500
W1 0.000 0.000 0.500
# Uncorrected energy = -26.67 eV/cell

No. 4
# PBE RbCa2W, optimized geometry
data_RbCa2W
_cell_length_a 9.391
_cell_length_b 9.391
_cell_length_c 7.394
_cell_angle_alpha 90.00
_cell_angle_beta 90.00
_cell_angle_gamma 90.00
_space_group_name_H-M_alt 'I -4 2 d'
_space_group_IT_number 122
_space_group_name_Hall 'I -4 2bw'
loop_
_atom_site_label
_atom_site_fract_x
_atom_site_fract_y
_atom_site_fract_z
Rb1 0.000 0.000 0.000
Ca1 0.183 0.250 0.625
W1 0.000 0.000 0.500
# Uncorrected energy = -48.95 eV/cell

No. 5
# PBE Rb2Ca2W, optimized geometry
data_Rb2Ca2W
_cell_length_a 4.487
_cell_length_b 4.487
_cell_length_c 21.152
_cell_angle_alpha 90.00
_cell_angle_beta 90.00
_cell_angle_gamma 90.00
_space_group_name_H-M_alt 'I 4/m m m'
_space_group_IT_number 139
_space_group_name_Hall '-I 4 2'
loop_
_atom_site_label
_atom_site_fract_x
_atom_site_fract_y
_atom_site_fract_z
Rb1 0.000 0.500 0.250
Ca1 0.000 0.000 0.076
W1 0.000 0.000 0.500
# Uncorrected energy = -23.24 eV/cell

No. 6
# PBE RbCa2W, optimized geometry
data_RbCa2W
_cell_length_a 8.101
_cell_length_b 8.101
_cell_length_c 8.101
_cell_angle_alpha 90.00
_cell_angle_beta 90.00
_cell_angle_gamma 90.00
_space_group_name_H-M_alt 'F m -3 m'
_space_group_IT_number 225
_space_group_name_Hall '-F 4 2 3'
loop_
_atom_site_label
_atom_site_fract_x
_atom_site_fract_y
_atom_site_fract_z
Rb1 0.000 0.000 0.000
Ca1 0.250 0.250 0.250
W1 0.000 0.000 0.500
# Uncorrected energy = -51.58 eV/cell

No. 7
# PBE Rb3CaW, optimized geometry
data_Rb3CaW
_cell_length_a 7.097
_cell_length_b 7.097
_cell_length_c 7.097
_cell_angle_alpha 90.00
_cell_angle_beta 90.00
_cell_angle_gamma 90.00
_space_group_name_H-M_alt 'P m -3 m'
_space_group_IT_number 221
_space_group_name_Hall '-P 4 2 3'
loop_
_atom_site_label
_atom_site_fract_x
_atom_site_fract_y
_atom_site_fract_z
Rb1 0.000 0.000 0.500
Ca1 0.500 0.500 0.500
W1 0.000 0.000 0.000
# Uncorrected energy = -10.54 eV/cell

No. 8
# PBE Rb2CaY, optimized geometry
data_Rb2CaY
_cell_length_a 9.525
_cell_length_b 9.525
_cell_length_c 9.525
_cell_angle_alpha 90.00
_cell_angle_beta 90.00
_cell_angle_gamma 90.00
_space_group_name_H-M_alt 'F m -3 m'
_space_group_IT_number 225
_space_group_name_Hall '-F 4 2 3'
loop_
_atom_site_label
_atom_site_fract_x
_atom_site_fract_y
_atom_site_fract_z
Rb1 0.250 0.250 0.250
Ca1 0.000 0.000 0.000
Y1 0.000 0.000 0.500
# Uncorrected energy = -30.86 eV/cell